[1]
The following is a DFT calculation (GGA+U) of VReN2F after structural relaxation.

Unit cell a=3.9096 b=3.9096 c=4.0438 alpha=90.00 beta=90.00 gamma=90.00
Last column: nearest neighbours and their distance in Å.
Atoms (fractional coordinates):
1 N 0.5000 0.0000 0.0000  2 Re 1.95
2 N 0.0000 0.5000 0.0000  2 Re 1.95
3 Re 0.0000 0.0000 0.0000  4 N 1.95, 2 F 2.02
4 V 0.5000 0.5000 0.5000  4 F 2.76, 8 N 2.81
5 F 0.0000 0.0000 0.5000  2 Re 2.02

Values from the calculation:
E in Ry per atom: -0.530
Mass density in g cm⁻³: 7.63
Space-group type: No. 123

---

[2]
The following is a DFT calculation (GGA+U) of VReN2F after structural relaxation.

Unit cell a=3.9154 b=3.9154 c=3.7299 alpha=90.00 beta=90.00 gamma=90.00
Last column: nearest neighbours and their distance in Å.
Atoms (fractional coordinates):
1 Re 0.5000 0.5000 0.5000  8 N 2.70, 4 F 2.77
2 F 0.0000 0.0000 0.5000  2 V 1.86
3 N 0.0000 0.5000 0.0000  2 V 1.96
4 N 0.5000 0.0000 0.0000  2 V 1.96
5 V 0.0000 0.0000 0.0000  2 F 1.86, 4 N 1.96

Values from the calculation:
E in Ry per atom: -0.507
Mass density in g cm⁻³: 8.25
Space-group type: No. 123

---

[3]
The following is a DFT calculation (GGA+U) of ReWNF2 after structural relaxation.

Unit cell a=4.2842 b=4.2842 c=4.1431 alpha=90.00 beta=90.00 gamma=90.00
Last column: nearest neighbours and their distance in Å.
Atoms (fractional coordinates):
1 F 0.0000 0.5000 0.0000  2 W 2.14
2 F 0.5000 0.0000 0.0000  2 W 2.14
3 N 0.0000 0.0000 0.5000  2 W 2.07
4 Re 0.5000 0.5000 0.5000  8 F 2.98, 4 N 3.03
5 W 0.0000 0.0000 0.0000  2 N 2.07, 4 F 2.14

Values from the calculation:
E in Ry per atom: -0.447
Mass density in g cm⁻³: 9.22
Space-group type: No. 123

---

[4]
The following is a DFT calculation (GGA+U) of ReWNF2 after structural relaxation.

Unit cell a=4.2701 b=4.2701 c=3.8982 alpha=90.00 beta=90.00 gamma=90.00
Last column: nearest neighbours and their distance in Å.
Atoms (fractional coordinates):
1 F 0.5000 0.0000 0.0000  2 Re 2.14
2 F 0.0000 0.5000 0.0000  2 Re 2.14
3 N 0.0000 0.0000 0.5000  2 Re 1.95
4 W 0.5000 0.5000 0.5000  8 F 2.89, 4 N 3.02
5 Re 0.0000 0.0000 0.0000  2 N 1.95, 4 F 2.14

Values from the calculation:
E in Ry per atom: -0.457
Mass density in g cm⁻³: 9.86
Space-group type: No. 123

---

> Among the records above, which one has the lowest mass density?

number 1

---

> Which formula does entry 1 have?

VReN2F